VASP calculation (PBE+U) on a geometry-optimized FeCu3O structure.

Geometry as CIF:
```
data_FeCu3O
_cell_length_a 3.9937
_cell_length_b 3.9937
_cell_length_c 3.9937
_cell_angle_alpha 90.00
_cell_angle_beta 90.00
_cell_angle_gamma 90.00
_symmetry_space_group_name_H-M 'P 1'
_symmetry_Int_Tables_number 1
loop_
_symmetry_equiv_pos_as_xyz
'x,y,z'
loop_
_atom_site_label
_atom_site_type_symbol
_atom_site_fract_x
_atom_site_fract_y
_atom_site_fract_z
O1 O 0.0000 0.0000 0.0000
Cu1 Cu 0.0000 0.5000 0.0000
Cu2 Cu 0.5000 0.0000 0.0000
Cu3 Cu 0.0000 0.0000 0.5000
Fe1 Fe 0.5000 0.5000 0.5000
```

Summary:
ΔE to the lowest computed polymorph ... 0.00 eV/f.u.
DFT total energy ... -4.16 eV/atom
Density of states at the Fermi level ... 1.23 states/eV/atom
Calculated density ... 6.84 g/cm3